Computed, not measured: a relaxed TcS2NF crystal at the PBE-GGA level of DFT.

Results
Electronic total energy   -4.0660 eV per atom
DOS at the Fermi energy   4.2 states/eV/f.u.
Size of the total moment   1.440 μB per formula unit
Formation energy from raw total energies   8.49 eV/f.u.

a = 4.349 Å, b = 4.349 Å, c = 3.633 Å
α = 90.00°, β = 90.00°, γ = 90.00°
Element x y z (fractional)
Tc 0.000 0.000 0.000
S 0.000 0.500 0.500
S 0.500 0.000 0.500
N 0.500 0.500 0.000
F 0.500 0.500 0.500



Computed, not measured: a relaxed TeS2NF crystal at the PBE-GGA level of DFT.

Results
Electronic total energy   -3.1717 eV per atom
DOS at the Fermi energy   4.7 states/eV/f.u.
Size of the total moment   3.127 μB per formula unit
Formation energy from raw total energies   5.73 eV/f.u.

a = 5.161 Å, b = 5.161 Å, c = 4.002 Å
α = 90.00°, β = 90.00°, γ = 90.00°
Element x y z (fractional)
Te 0.000 0.000 0.000
S 0.000 0.500 0.000
S 0.500 0.000 0.000
N 0.000 0.000 0.500
F 0.500 0.500 0.500



Repeat the second record exactly.
Computed, not measured: a relaxed TeS2NF crystal at the PBE-GGA level of DFT.

Results
Electronic total energy   -3.1717 eV per atom
DOS at the Fermi energy   4.7 states/eV/f.u.
Size of the total moment   3.127 μB per formula unit
Formation energy from raw total energies   5.73 eV/f.u.

a = 5.161 Å, b = 5.161 Å, c = 4.002 Å
α = 90.00°, β = 90.00°, γ = 90.00°
Element x y z (fractional)
Te 0.000 0.000 0.000
S 0.000 0.500 0.000
S 0.500 0.000 0.000
N 0.000 0.000 0.500
F 0.500 0.500 0.500